{
  "formula": "SrTi2Au2",
  "functional": "SCAN",
  "state": "PBEsol geometry",
  "lattice": [[-1.962, 1.962, 6.869], [1.962, -1.962, 6.869], [1.962, 1.962, -6.869]],
  "species": ["Sr", "Ti", "Ti", "Au", "Au"],
  "frac_coords": [[0.000, 0.000, 0.000], [0.250, 0.750, 0.500], [0.750, 0.250, 0.500], [0.392, 0.392, 0.000], [0.608, 0.608, 0.000]],
  "total_magnetization_mub_per_fu": 0.0,
  "volume_a3_per_atom": 21.15,
  "formation_energy_mev_per_atom": -412
}